Run i
DFT (PBE-GGA) results for a relaxed CsSr4I8 crystal.

## Properties
Density   3.79 g cm⁻³
DOS(E_F)   0.337 states/eV/atom

Unit cell a=11.420 b=11.420 c=15.461 alpha=127.34 beta=127.34 gamma=24.51
Sites, in units of the cell vectors:
Cs (0.000, 0.000, 0.000)
Sr (0.140, 0.140, 0.460)
Sr (0.334, 0.334, 0.163)
Sr (0.657, 0.657, 0.826)
Sr (0.851, 0.851, 0.530)
I (0.032, 0.032, 0.759)
I (0.286, 0.286, 0.912)
I (0.328, 0.328, 0.655)
I (0.371, 0.371, 0.405)
I (0.618, 0.618, 0.583)
I (0.662, 0.662, 0.334)
I (0.704, 0.704, 0.077)
I (0.958, 0.958, 0.230)

---

Run ii
DFT (PBE-GGA) results for a relaxed CsSr4I8 crystal.

## Properties
Density   3.32 g cm⁻³
DOS(E_F)   0.341 states/eV/atom

Unit cell a=10.195 b=10.195 c=10.195 alpha=60.00 beta=60.00 gamma=60.00
Sites, in units of the cell vectors:
Cs (0.000, 0.000, 0.000)
Sr (0.379, 0.379, 0.379)
Sr (0.379, 0.379, 0.863)
Sr (0.379, 0.863, 0.379)
Sr (0.863, 0.379, 0.379)
I (0.146, 0.146, 0.146)
I (0.146, 0.146, 0.562)
I (0.146, 0.562, 0.146)
I (0.167, 0.611, 0.611)
I (0.562, 0.146, 0.146)
I (0.611, 0.167, 0.611)
I (0.611, 0.611, 0.167)
I (0.611, 0.611, 0.611)

---

List of relative energies, unit meV per atom: run i 0; run ii 11